1.
SmDyAgSn, relaxed, DFT PBE; density of states at the Fermi level = 4.2 states/eV per cell; E_tot = -4.558 eV/atom; calculated formation energy = -0.514 eV per atom
1.0
-2.8112 3.6853 2.5377
-4.8631 -1.1184 1.7389
-0.9083 -0.4741 5.1841
Ag Sm Sn Dy
1 1 1 1
direct
0.0000 0.0000 0.0000
0.7500 0.7500 0.7500
0.5000 0.5000 0.5000
0.2500 0.2500 0.2500

2.
PrHgPd, relaxed, DFT PBE; density of states at the Fermi level = 4.5 states/eV per cell; distance to the lowest polymorph of the same formula = 362 meV/atom; E_tot = -3.746 eV/atom; calculated formation energy = -0.322 eV per atom
1.0
5.3940 0.0000 0.0000
0.0000 3.7896 0.0000
0.0000 1.8948 7.5734
Pd Hg Pr
2 2 2
direct
0.5000 0.0000 0.0000
0.0000 0.0000 0.0000
0.2500 0.3840 0.2320
0.7500 0.6160 0.7680
0.2500 0.1664 0.6672
0.7500 0.8336 0.3328

3.
TaGaTc2B, relaxed, DFT PBE; density of states at the Fermi level = 4.2 states/eV per cell; E_tot = -8.415 eV/atom; calculated formation energy = 0.042 eV per atom
1.0
-1.0301 2.2061 3.3382
-3.5193 1.3923 -2.0062
-2.1183 -3.2251 1.4777
Ga Ta B Tc
1 1 1 2
direct
0.5000 0.5000 0.5000
0.0000 0.5000 0.0000
0.0000 0.0000 0.0000
0.0000 0.0000 0.5000
0.5000 0.0000 0.0000

Which value of calculated formation energy does entry 1 give?
-0.514 eV per atom